## MgHg4Pt (meta-GGA SCAN)

Data for a PBEsol-optimized structure of MgHg4Pt.

Cell lengths 5.590, 5.590, 5.590 Å; angles 60.00, 60.00, 60.00 degrees
Sites, in units of the cell vectors:
Hg1 0.375 0.375 0.375
Hg2 0.375 0.375 0.876
Hg3 0.876 0.375 0.375
Hg4 0.375 0.876 0.375
Mg1 0.750 0.750 0.750
Pt1 0.000 0.000 0.000

Output
E_form   288.4 meV per atom

## MgHg2Pt (meta-GGA SCAN)

Data for a PBEsol-optimized structure of MgHg2Pt.

Cell lengths 4.105, 4.104, 5.178 Å; angles 113.22, 113.22, 90.06 degrees
Sites, in units of the cell vectors:
Hg1 0.000 0.000 0.000
Hg2 0.750 0.250 0.500
Mg1 0.500 0.500 0.000
Pt1 0.250 0.750 0.500

Output
E_form   -251.7 meV per atom

## Mg2HgPt (meta-GGA SCAN)

Data for a PBEsol-optimized structure of Mg2HgPt.

Cell lengths 4.001, 4.001, 5.165 Å; angles 112.79, 112.79, 90.00 degrees
Sites, in units of the cell vectors:
Mg1 0.500 0.500 0.000
Mg2 0.750 0.250 0.500
Hg1 0.250 0.750 0.500
Pt1 0.000 0.000 0.000

Output
E_form   -610.2 meV per atom

## Mg2HgPt (meta-GGA SCAN)

Data for a PBEsol-optimized structure of Mg2HgPt.

Cell lengths 3.167, 3.167, 7.097 Å; angles 90.00, 90.00, 90.00 degrees
Sites, in units of the cell vectors:
Mg1 0.000 0.000 0.782
Mg2 0.000 0.000 0.218
Hg1 0.500 0.500 0.500
Pt1 0.500 0.500 0.000

Output
E_form   -688.6 meV per atom

## Mg4HgPt (meta-GGA SCAN)

Data for a PBEsol-optimized structure of Mg4HgPt.

Cell lengths 5.437, 5.437, 5.437 Å; angles 60.00, 60.00, 60.00 degrees
Sites, in units of the cell vectors:
Hg1 0.000 0.000 0.000
Mg1 0.376 0.376 0.376
Mg2 0.376 0.376 0.873
Mg3 0.873 0.376 0.376
Mg4 0.376 0.873 0.376
Pt1 0.750 0.750 0.750

Output
E_form   -14.0 meV per atom

## Mg2HgPt (meta-GGA SCAN)

Data for a PBEsol-optimized structure of Mg2HgPt.

Cell lengths 3.237, 4.636, 4.636 Å; angles 90.00, 90.00, 90.00 degrees
Sites, in units of the cell vectors:
Mg1 0.000 0.000 0.125
Mg2 0.000 0.500 0.625
Hg1 0.500 0.500 0.125
Pt1 0.500 0.000 0.625

Output
E_form   -629.8 meV per atom

## Rb3MgHg (meta-GGA SCAN)

Data for a PBEsol-optimized structure of Rb3MgHg.

Cell lengths 7.176, 7.176, 7.176 Å; angles 90.00, 90.00, 90.00 degrees
Sites, in units of the cell vectors:
Mg1 0.000 0.000 0.000
Hg1 0.500 0.500 0.500
Rb1 0.000 0.500 0.000
Rb2 0.000 0.000 0.500
Rb3 0.500 0.000 0.000

Output
E_form   278.0 meV per atom

## Mg2ReHg (meta-GGA SCAN)

Data for a PBEsol-optimized structure of Mg2ReHg.

Cell lengths 3.867, 4.205, 4.202 Å; angles 90.00, 90.00, 90.00 degrees
Sites, in units of the cell vectors:
Hg1 0.500 0.000 0.500
Mg1 0.000 0.000 0.000
Mg2 0.000 0.500 0.500
Re1 0.500 0.500 0.000

Output
E_form   236.8 meV per atom

## Mg2ReHg (meta-GGA SCAN)

Data for a PBEsol-optimized structure of Mg2ReHg.

Cell lengths 2.940, 2.940, 9.665 Å; angles 81.25, 81.25, 60.00 degrees
Sites, in units of the cell vectors:
Hg1 0.000 0.000 0.000
Mg1 0.245 0.245 0.265
Mg2 0.755 0.755 0.735
Re1 0.500 0.500 0.500

Output
E_form   224.0 meV per atom

## Mg2ReHg (meta-GGA SCAN)

Data for a PBEsol-optimized structure of Mg2ReHg.

Cell lengths 3.364, 3.364, 6.245 Å; angles 90.00, 90.00, 90.00 degrees
Sites, in units of the cell vectors:
Hg1 0.500 0.500 0.744
Mg1 0.000 0.000 0.994
Mg2 0.500 0.500 0.274
Re1 0.000 0.000 0.488

Output
E_form   478.8 meV per atom

## MgReSn2Hg (meta-GGA SCAN)

Data for a PBEsol-optimized structure of MgReSn2Hg.

Cell lengths 4.866, 5.182, 5.182 Å; angles 90.00, 90.00, 90.00 degrees
Sites, in units of the cell vectors:
Re1 0.500 0.000 0.000
Mg1 0.000 0.000 0.000
Hg1 0.500 0.500 0.500
Sn1 0.000 0.000 0.500
Sn2 0.000 0.500 0.000

Output
E_form   1436.0 meV per atom

## MgHgRh2 (meta-GGA SCAN)

Data for a PBEsol-optimized structure of MgHgRh2.

Cell lengths 3.235, 4.399, 4.399 Å; angles 90.00, 90.00, 90.00 degrees
Sites, in units of the cell vectors:
Mg1 0.500 0.500 0.126
Rh1 0.000 0.000 0.124
Rh2 0.000 0.500 0.626
Hg1 0.500 0.000 0.624

Output
E_form   -183.7 meV per atom

Number 1: N(E_F) 0.168 states/eV per atom. Number 2: N(E_F) 0.290 states/eV per atom. Number 3: N(E_F) 0.224 states/eV per atom. Number 4: N(E_F) 0.337 states/eV per atom. Number 5: N(E_F) 0.239 states/eV per atom. Number 6: N(E_F) 0.294 states/eV per atom. Number 7: N(E_F) 0.887 states/eV per atom. Number 8: N(E_F) 0.218 states/eV per atom. Number 9: N(E_F) 0.567 states/eV per atom. Number 10: N(E_F) 0.852 states/eV per atom. Number 11: N(E_F) 0.585 states/eV per atom. Number 12: N(E_F) 0.961 states/eV per atom.